VASP calculation (PBEsol) on a relaxed YMn2IO crystal.

uncorrected formation energy = 1560 meV/atom
volume = 171 Å³/cell

Cell: 5.502 5.502 5.645 Å, 90.00 90.00 90.00°
Fractional positions:
Y1 0.000 0.000 0.000
Mn1 0.000 0.500 0.000
Mn2 0.500 0.000 0.000
I1 0.000 0.000 0.500
O1 0.500 0.500 0.500